[1]
## Cd2SiAg (GGA-PBE)

Data for crystalline Cd2SiAg at its relaxed geometry.

Computed properties:
energy	-0.085	Ha/atom
space-group type	Pm

Unit cell a=2.999 b=4.766 c=5.554 alpha=90.00 beta=97.19 gamma=90.00
Positions (direct):
Cd 0.000 0.000 0.000
Cd 0.153 0.500 0.678
Si 0.483 0.500 0.208
Ag 0.593 0.000 0.481

---

[2]
## Pr6P2AuCl3 (GGA-PBE)

Data for crystalline Pr6P2AuCl3 at its relaxed geometry.

Computed properties:
energy	-0.200	Ha/atom
space-group type	C2/m

Unit cell a=9.496 b=9.496 c=8.595 alpha=102.79 beta=102.79 gamma=25.42
Positions (direct):
Pr 0.008 0.008 0.243
Pr 0.326 0.326 0.436
Pr 0.332 0.332 0.895
Pr 0.668 0.668 0.105
Pr 0.674 0.674 0.564
Pr 0.992 0.992 0.757
P 0.168 0.168 0.333
P 0.832 0.832 0.667
Au 0.500 0.500 0.000
Cl 0.164 0.164 0.828
Cl 0.500 0.500 0.500
Cl 0.836 0.836 0.172